w) AsBr | meta-GGA SCAN | PBEsol geometry

abc: 3.825 4.053 7.438
angles: 88.06 90.00 90.00
Atoms (fractional coordinates):
As 0.750 0.793 0.003
Br 0.750 0.740 0.320
Br 0.250 0.260 0.680
As 0.250 0.207 0.997

Results
As for the mass density: 4.5 Mg/m³. As for the total magnetization: 0.0 μB per cell.



x) AsBr | meta-GGA SCAN | PBEsol geometry

abc: 4.078 4.078 4.078
angles: 60.00 60.00 60.00
Atoms (fractional coordinates):
Br 0.500 0.500 0.500
As 0.000 0.000 0.000

Results
As for the mass density: 5.4 Mg/m³. As for the total magnetization: 0.0 μB per cell.



The computed energies, referenced to the most stable structure and given in meV/atom, are w) 0; x) 932.



w) CaAsBr2 | meta-GGA SCAN | PBEsol geometry

abc: 5.256 5.256 5.256
angles: 60.00 60.00 60.00
Each line ends with the local moment (μB).
Atoms (fractional coordinates):
Ca 0.250 0.250 0.250  0.10
Br 0.750 0.750 0.750  0.39
As 0.500 0.500 0.500  0.99
Br 0.000 0.000 0.000  0.14

Results
As for the mass density: 4.4 Mg/m³. As for the total magnetization: 3.0 μB per cell.



x) CaAsBr2 | meta-GGA SCAN | PBEsol geometry

abc: 3.549 5.140 6.668
angles: 95.10 105.43 90.00
Atoms (fractional coordinates):
Br 0.663 0.722 0.325
As 0.500 0.000 0.000
Ca 0.000 0.500 0.000
Br 0.337 0.278 0.675

Results
As for the mass density: 3.9 Mg/m³. As for the total magnetization: 0.0 μB per cell.



The computed energies, referenced to the most stable structure and given in meV/atom, are w) 510; x) 0.